! VSnSI2 | Alexandria | PBE | optimized geometry; values from VASP
! Energy relative to the elements, uncorrected = 0.4259 eV/atom
! Volume = 172 Å³/f.u.
! Calculated total energy = -3.64 eV/atom
! SG = P4/mmm
&SYSTEM
  ibrav = 0, nat = 5, ntyp = 4
/
ATOMIC_SPECIES
V 50.94 V.upf
Sn 118.71 Sn.upf
S 32.06 S.upf
I 126.90 I.upf
ATOMIC_POSITIONS crystal
V 0.0000 0.0000 0.0000
Sn 0.5000 0.5000 0.0000
S 0.0000 0.0000 0.5000
I 0.0000 0.5000 0.5000
I 0.5000 0.0000 0.5000
CELL_PARAMETERS angstrom
6.3014 0.0000 0.0000
0.0000 6.3014 0.0000
0.0000 0.0000 4.3275